(1)
# Ba2Sn4Hg5, optimized geometry, DFT GGA-PBE
# **Calculated volume**: 32.14 A^3/atom
# **Final energy**: -48.12 eV per cell
# **Formation enthalpy at 0 K**: -245 meV/atom
data_Ba2Sn4Hg5
_chemical_formula_sum 'Ba4 Sn8 Hg10'
_cell_length_a 13.691
_cell_length_b 6.852
_cell_length_c 9.944
_cell_angle_alpha 90.00
_cell_angle_beta 130.72
_cell_angle_gamma 90.00
_symmetry_space_group_name_H-M 'C 1 2/m 1'
_symmetry_Int_Tables_number 12
_symmetry_space_group_name_Hall '-C 2y'
loop_
_atom_site_label
_atom_site_fract_x
_atom_site_fract_y
_atom_site_fract_z
Ba1 0.229 0.000 0.291
Sn1 0.139 0.000 0.575
Sn2 0.232 0.000 0.939
Hg1 0.000 0.500 0.000
Hg2 0.002 0.283 0.728

=====

(2)
# Ba3Sn7Hg2, optimized geometry, DFT GGA-PBE
# **Calculated volume**: 31.87 A^3/atom
# **Final energy**: -117.91 eV per cell
# **Formation enthalpy at 0 K**: -409 meV/atom
data_Ba3Sn7Hg2
_chemical_formula_sum 'Ba9 Sn21 Hg6'
_cell_length_a 6.5289
_cell_length_b 6.5289
_cell_length_c 31.0799
_cell_angle_alpha 90.00
_cell_angle_beta 90.00
_cell_angle_gamma 120.00
_symmetry_space_group_name_H-M 'R -3 m'
_symmetry_Int_Tables_number 166
_symmetry_space_group_name_Hall '-R 3 2"'
loop_
_atom_site_label
_atom_site_fract_x
_atom_site_fract_y
_atom_site_fract_z
Ba1 0.0000 0.0000 0.0000
Ba2 0.0000 0.0000 0.1403
Sn1 0.0000 0.0000 0.5000
Sn2 0.0019 0.5009 0.9180
Hg1 0.0000 0.0000 0.3349

=====

(3)
# Ba2Sn2Hg, optimized geometry, DFT GGA-PBE
# **Calculated volume**: 36.49 A^3/atom
# **Final energy**: -29.27 eV per cell
# **Formation enthalpy at 0 K**: -497 meV/atom
# **Energy above the most stable polymorph in this dataset**: 58 kJ/mol of formula units
data_Ba2Sn2Hg
_chemical_formula_sum 'Ba4 Sn4 Hg2'
_cell_length_a 8.252
_cell_length_b 8.252
_cell_length_c 5.359
_cell_angle_alpha 90.00
_cell_angle_beta 90.00
_cell_angle_gamma 90.00
_symmetry_space_group_name_H-M 'P 4/m b m'
_symmetry_Int_Tables_number 127
_symmetry_space_group_name_Hall '-P 4 2ab'
loop_
_atom_site_label
_atom_site_fract_x
_atom_site_fract_y
_atom_site_fract_z
Ba1 0.167 0.333 0.000
Sn1 0.132 0.632 0.500
Hg1 0.000 0.000 0.500

=====

(4)
# Ba3SnHg, optimized geometry, DFT GGA-PBE
# **Calculated volume**: 61.91 A^3/atom
# **Final energy**: -10.88 eV per cell
# **Formation enthalpy at 0 K**: -161 meV/atom
# **Energy above the most stable polymorph in this dataset**: 167 kJ/mol of formula units
data_Ba3SnHg
_chemical_formula_sum 'Ba3 Sn1 Hg1'
_cell_length_a 6.764
_cell_length_b 6.764
_cell_length_c 6.764
_cell_angle_alpha 90.00
_cell_angle_beta 90.00
_cell_angle_gamma 90.00
_symmetry_space_group_name_H-M 'P m -3 m'
_symmetry_Int_Tables_number 221
_symmetry_space_group_name_Hall '-P 4 2 3'
loop_
_atom_site_label
_atom_site_fract_x
_atom_site_fract_y
_atom_site_fract_z
Ba1 0.000 0.000 0.500
Sn1 0.000 0.000 0.000
Hg1 0.500 0.500 0.500

=====

(5)
# BaSn2Hg, optimized geometry, DFT GGA-PBE
# **Calculated volume**: 32.39 A^3/atom
# **Final energy**: -95.42 eV per cell
# **Formation enthalpy at 0 K**: -424 meV/atom
data_BaSn2Hg
_chemical_formula_sum 'Ba8 Sn16 Hg8'
_cell_length_a 5.290
_cell_length_b 18.930
_cell_length_c 10.351
_cell_angle_alpha 90.00
_cell_angle_beta 90.00
_cell_angle_gamma 90.00
_symmetry_space_group_name_H-M 'C m c m'
_symmetry_Int_Tables_number 63
_symmetry_space_group_name_Hall '-C 2c 2'
loop_
_atom_site_label
_atom_site_fract_x
_atom_site_fract_y
_atom_site_fract_z
Ba1 0.000 0.000 0.000
Ba2 0.000 0.195 0.250
Sn1 0.000 0.188 0.606
Sn2 0.000 0.397 0.250
Sn3 0.000 0.446 0.750
Hg1 0.000 0.347 0.533

=====

(6)
# Ba2Sn6Hg, optimized geometry, DFT GGA-PBE
# **Calculated volume**: 31.52 A^3/atom
# **Final energy**: -63.36 eV per cell
# **Formation enthalpy at 0 K**: -391 meV/atom
data_Ba2Sn6Hg
_chemical_formula_sum 'Ba4 Sn12 Hg2'
_cell_length_a 12.270
_cell_length_b 7.075
_cell_length_c 6.536
_cell_angle_alpha 90.00
_cell_angle_beta 90.00
_cell_angle_gamma 90.00
_symmetry_space_group_name_H-M 'C 1 2/m 1'
_symmetry_Int_Tables_number 12
_symmetry_space_group_name_Hall '-C 2y'
loop_
_atom_site_label
_atom_site_fract_x
_atom_site_fract_y
_atom_site_fract_z
Ba1 0.167 0.000 0.151
Sn1 0.092 0.225 0.658
Sn2 0.184 0.500 0.342
Hg1 0.000 0.500 0.000

=====

(7)
# BaSn2Hg2, optimized geometry, DFT GGA-PBE
# **Calculated volume**: 29.73 A^3/atom
# **Final energy**: -23.36 eV per cell
# **Formation enthalpy at 0 K**: -229 meV/atom
data_BaSn2Hg2
_chemical_formula_sum 'Ba2 Sn4 Hg4'
_cell_length_a 8.868
_cell_length_b 8.868
_cell_length_c 3.780
_cell_angle_alpha 90.00
_cell_angle_beta 90.00
_cell_angle_gamma 90.00
_symmetry_space_group_name_H-M 'P 4/m b m'
_symmetry_Int_Tables_number 127
_symmetry_space_group_name_Hall '-P 4 2ab'
loop_
_atom_site_label
_atom_site_fract_x
_atom_site_fract_y
_atom_site_fract_z
Ba1 0.000 0.000 0.000
Sn1 0.168 0.332 0.500
Hg1 0.127 0.627 0.000

=====

(8)
# BaSn2Hg4, optimized geometry, DFT GGA-PBE
# **Calculated volume**: 29.90 A^3/atom
# **Final energy**: -25.43 eV per cell
# **Formation enthalpy at 0 K**: -226 meV/atom
# **Energy above the most stable polymorph in this dataset**: 16 kJ/mol of formula units
data_BaSn2Hg4
_chemical_formula_sum 'Ba2 Sn4 Hg8'
_cell_length_a 5.675
_cell_length_b 14.828
_cell_length_c 4.974
_cell_angle_alpha 90.00
_cell_angle_beta 90.00
_cell_angle_gamma 90.00
_symmetry_space_group_name_H-M 'C m m m'
_symmetry_Int_Tables_number 65
_symmetry_space_group_name_Hall '-C 2 2'
loop_
_atom_site_label
_atom_site_fract_x
_atom_site_fract_y
_atom_site_fract_z
Ba1 0.000 0.000 0.000
Sn1 0.000 0.401 0.500
Hg1 0.000 0.168 0.500
Hg2 0.000 0.292 0.000

=====

(9)
# BaSnHg2, optimized geometry, DFT GGA-PBE
# **Calculated volume**: 33.68 A^3/atom
# **Final energy**: -23.81 eV per cell
# **Formation enthalpy at 0 K**: -352 meV/atom
data_BaSnHg2
_chemical_formula_sum 'Ba3 Sn3 Hg6'
_cell_length_a 6.9252
_cell_length_b 6.9252
_cell_length_c 9.7310
_cell_angle_alpha 90.00
_cell_angle_beta 90.00
_cell_angle_gamma 120.00
_symmetry_space_group_name_H-M 'P 64 2 2'
_symmetry_Int_Tables_number 181
_symmetry_space_group_name_Hall 'P 64 2 (0 0 2)'
loop_
_atom_site_label
_atom_site_fract_x
_atom_site_fract_y
_atom_site_fract_z
Ba1 0.0000 0.5000 0.3333
Sn1 0.0000 0.0000 0.1667
Hg1 0.2142 0.4285 0.0000

=====

(10)
# Ba2Sn8Hg, optimized geometry, DFT GGA-PBE
# **Calculated volume**: 33.22 A^3/atom
# **Final energy**: -78.38 eV per cell
# **Formation enthalpy at 0 K**: -275 meV/atom
data_Ba2Sn8Hg
_chemical_formula_sum 'Ba4 Sn16 Hg2'
_cell_length_a 7.304
_cell_length_b 18.643
_cell_length_c 6.465
_cell_angle_alpha 90.00
_cell_angle_beta 123.88
_cell_angle_gamma 90.00
_symmetry_space_group_name_H-M 'C 1 2/m 1'
_symmetry_Int_Tables_number 12
_symmetry_space_group_name_Hall '-C 2y'
loop_
_atom_site_label
_atom_site_fract_x
_atom_site_fract_y
_atom_site_fract_z
Ba1 0.000 0.156 0.000
Sn1 0.000 0.247 0.500
Sn2 0.132 0.366 0.280
Sn3 0.173 0.500 0.944
Hg1 0.000 0.000 0.500

=====

(11)
# BaSn4Hg6, optimized geometry, DFT GGA-PBE
# **Calculated volume**: 31.65 A^3/atom
# **Final energy**: -40.88 eV per cell
# **Formation enthalpy at 0 K**: -63 meV/atom
data_BaSn4Hg6
_chemical_formula_sum 'Ba2 Sn8 Hg12'
_cell_length_a 8.175
_cell_length_b 8.175
_cell_length_c 10.419
_cell_angle_alpha 90.00
_cell_angle_beta 90.00
_cell_angle_gamma 90.00
_symmetry_space_group_name_H-M 'I -4 2 m'
_symmetry_Int_Tables_number 121
_symmetry_space_group_name_Hall 'I -4 2'
loop_
_atom_site_label
_atom_site_fract_x
_atom_site_fract_y
_atom_site_fract_z
Ba1 0.000 0.000 0.000
Sn1 0.190 0.190 0.587
Hg1 0.000 0.500 0.000
Hg2 0.153 0.153 0.298

=====

(12)
# BaSn2Hg2, optimized geometry, DFT GGA-PBE
# **Calculated volume**: 31.60 A^3/atom
# **Final energy**: -24.28 eV per cell
# **Formation enthalpy at 0 K**: -321 meV/atom
data_BaSn2Hg2
_chemical_formula_sum 'Ba2 Sn4 Hg4'
_cell_length_a 6.708
_cell_length_b 6.777
_cell_length_c 7.931
_cell_angle_alpha 79.22
_cell_angle_beta 72.29
_cell_angle_gamma 67.39
_symmetry_space_group_name_H-M 'P -1'
_symmetry_Int_Tables_number 2
_symmetry_space_group_name_Hall '-P 1'
loop_
_atom_site_label
_atom_site_fract_x
_atom_site_fract_y
_atom_site_fract_z
Ba1 0.170 0.228 0.227
Sn1 0.133 0.221 0.722
Sn2 0.474 0.392 0.775
Hg1 0.258 0.815 0.968
Hg2 0.368 0.821 0.546

=====

(13)
# BaSn3Hg, optimized geometry, DFT GGA-PBE
# **Calculated volume**: 36.90 A^3/atom
# **Final energy**: -14.15 eV per cell
# **Formation enthalpy at 0 K**: 16 meV/atom
# **Energy above the most stable polymorph in this dataset**: 181 kJ/mol of formula units
data_BaSn3Hg
_chemical_formula_sum 'Ba1 Sn3 Hg1'
_cell_length_a 5.693
_cell_length_b 5.693
_cell_length_c 5.693
_cell_angle_alpha 90.00
_cell_angle_beta 90.00
_cell_angle_gamma 90.00
_symmetry_space_group_name_H-M 'P m -3 m'
_symmetry_Int_Tables_number 221
_symmetry_space_group_name_Hall '-P 4 2 3'
loop_
_atom_site_label
_atom_site_fract_x
_atom_site_fract_y
_atom_site_fract_z
Ba1 0.000 0.000 0.000
Sn1 0.000 0.500 0.500
Hg1 0.500 0.500 0.500

=====

(14)
# BaSnHg2, optimized geometry, DFT GGA-PBE
# **Calculated volume**: 30.70 A^3/atom
# **Final energy**: -7.85 eV per cell
# **Formation enthalpy at 0 K**: -331 meV/atom
data_BaSnHg2
_chemical_formula_sum 'Ba1 Sn1 Hg2'
_cell_length_a 3.998
_cell_length_b 3.998
_cell_length_c 7.683
_cell_angle_alpha 90.00
_cell_angle_beta 90.00
_cell_angle_gamma 90.00
_symmetry_space_group_name_H-M 'P 4/m m m'
_symmetry_Int_Tables_number 123
_symmetry_space_group_name_Hall '-P 4 2'
loop_
_atom_site_label
_atom_site_fract_x
_atom_site_fract_y
_atom_site_fract_z
Ba1 0.000 0.000 0.000
Sn1 0.000 0.000 0.500
Hg1 0.500 0.500 0.279

=====

(15)
# Ba2SnHg12, optimized geometry, DFT GGA-PBE
# **Calculated volume**: 30.13 A^3/atom
# **Final energy**: -29.50 eV per cell
# **Formation enthalpy at 0 K**: -219 meV/atom
data_Ba2SnHg12
_chemical_formula_sum 'Ba4 Sn2 Hg24'
_cell_length_a 7.066
_cell_length_b 7.066
_cell_length_c 18.109
_cell_angle_alpha 90.00
_cell_angle_beta 90.00
_cell_angle_gamma 90.00
_symmetry_space_group_name_H-M 'P 4/n b m'
_symmetry_Int_Tables_number 125
loop_
_symmetry_equiv_pos_as_xyz
'x,y,z'
'-x,-y,-z'
'-y+1/2,x,z'
'y+1/2,-x,-z'
'-x+1/2,-y+1/2,z'
'x+1/2,y+1/2,-z'
'y,-x+1/2,z'
'-y,x+1/2,-z'
'x,-y+1/2,-z'
'-x,y+1/2,z'
'-y+1/2,-x+1/2,-z'
'y+1/2,x+1/2,z'
'-x+1/2,y,-z'
'x+1/2,-y,z'
'y,x,-z'
'-y,-x,z'
loop_
_atom_site_label
_atom_site_fract_x
_atom_site_fract_y
_atom_site_fract_z
Ba1 0.250 0.750 0.249
Sn1 0.250 0.750 0.500
Hg1 0.000 0.000 0.403
Hg2 0.092 0.592 0.067
Hg3 0.250 0.250 0.146
Hg4 0.250 0.250 0.308

=====

(16)
# BaSn4Hg4, optimized geometry, DFT GGA-PBE
# **Calculated volume**: 30.30 A^3/atom
# **Final energy**: -40.72 eV per cell
# **Formation enthalpy at 0 K**: -135 meV/atom
data_BaSn4Hg4
_chemical_formula_sum 'Ba2 Sn8 Hg8'
_cell_length_a 7.159
_cell_length_b 7.159
_cell_length_c 10.641
_cell_angle_alpha 90.00
_cell_angle_beta 90.00
_cell_angle_gamma 90.00
_symmetry_space_group_name_H-M 'P 42/n m c'
_symmetry_Int_Tables_number 137
loop_
_symmetry_equiv_pos_as_xyz
'x,y,z'
'-x,-y,-z'
'-y+1/2,x,z+1/2'
'y+1/2,-x,-z+1/2'
'-x+1/2,-y+1/2,z'
'x+1/2,y+1/2,-z'
'y,-x+1/2,z+1/2'
'-y,x+1/2,-z+1/2'
'x+1/2,-y,-z'
'-x+1/2,y,z'
'-y,-x,-z+1/2'
'y,x,z+1/2'
'-x,y+1/2,-z'
'x,-y+1/2,z'
'y+1/2,x+1/2,-z+1/2'
'-y+1/2,-x+1/2,z+1/2'
loop_
_atom_site_label
_atom_site_fract_x
_atom_site_fract_y
_atom_site_fract_z
Ba1 0.250 0.750 0.250
Sn1 0.031 0.250 0.155
Hg1 0.030 0.250 0.447

=====

(17)
# Ba2Sn5Hg4, optimized geometry, DFT GGA-PBE
# **Calculated volume**: 31.47 A^3/atom
# **Final energy**: -56.36 eV per cell
# **Formation enthalpy at 0 K**: -283 meV/atom
# **Energy above the most stable polymorph in this dataset**: 0 kJ/mol of formula units
data_Ba2Sn5Hg4
_chemical_formula_sum 'Ba4 Sn10 Hg8'
_cell_length_a 6.692
_cell_length_b 9.878
_cell_length_c 10.474
_cell_angle_alpha 90.00
_cell_angle_beta 90.00
_cell_angle_gamma 90.00
_symmetry_space_group_name_H-M 'I m m m'
_symmetry_Int_Tables_number 71
_symmetry_space_group_name_Hall '-I 2 2'
loop_
_atom_site_label
_atom_site_fract_x
_atom_site_fract_y
_atom_site_fract_z
Ba1 0.000 0.238 0.000
Sn1 0.000 0.500 0.500
Sn2 0.237 0.500 0.244
Hg1 0.000 0.222 0.354

=====

(18)
# Ba2SnHg16, optimized geometry, DFT GGA-PBE
# **Calculated volume**: 28.17 A^3/atom
# **Final energy**: -48.52 eV per cell
# **Formation enthalpy at 0 K**: -184 meV/atom
data_Ba2SnHg16
_chemical_formula_sum 'Ba6 Sn3 Hg48'
_cell_length_a 10.5427
_cell_length_b 10.5427
_cell_length_c 16.6809
_cell_angle_alpha 90.00
_cell_angle_beta 90.00
_cell_angle_gamma 120.00
_symmetry_space_group_name_H-M 'R 3 m'
_symmetry_Int_Tables_number 160
_symmetry_space_group_name_Hall 'R 3 -2"'
loop_
_atom_site_label
_atom_site_fract_x
_atom_site_fract_y
_atom_site_fract_z
Ba1 0.0000 0.0000 0.0000
Ba2 0.0000 0.0000 0.3301
Sn1 0.0000 0.0000 0.7318
Hg1 0.0000 0.0000 0.5458
Hg2 0.0348 0.3654 0.3210
Hg3 0.1821 0.3641 0.1285
Hg4 0.1968 0.3937 0.5010
Hg5 0.2029 0.4057 0.8396

=====

(19)
# BaSn8Hg2, optimized geometry, DFT GGA-PBE
# **Calculated volume**: 35.43 A^3/atom
# **Final energy**: -34.01 eV per cell
# **Formation enthalpy at 0 K**: 49 meV/atom
data_BaSn8Hg2
_chemical_formula_sum 'Ba1 Sn8 Hg2'
_cell_length_a 6.286
_cell_length_b 6.286
_cell_length_c 9.861
_cell_angle_alpha 90.00
_cell_angle_beta 90.00
_cell_angle_gamma 90.00
_symmetry_space_group_name_H-M 'P 4/m m m'
_symmetry_Int_Tables_number 123
_symmetry_space_group_name_Hall '-P 4 2'
loop_
_atom_site_label
_atom_site_fract_x
_atom_site_fract_y
_atom_site_fract_z
Ba1 0.000 0.000 0.000
Sn1 0.254 0.254 0.288
Hg1 0.000 0.500 0.500

=====

(20)
# Ba3SnHg2, optimized geometry, DFT GGA-PBE
# **Calculated volume**: 37.86 A^3/atom
# **Final energy**: -27.76 eV per cell
# **Formation enthalpy at 0 K**: -584 meV/atom
data_Ba3SnHg2
_chemical_formula_sum 'Ba6 Sn2 Hg4'
_cell_length_a 5.9711
_cell_length_b 5.9711
_cell_length_c 14.7143
_cell_angle_alpha 90.00
_cell_angle_beta 90.00
_cell_angle_gamma 120.00
_symmetry_space_group_name_H-M 'P -3 m 1'
_symmetry_Int_Tables_number 164
_symmetry_space_group_name_Hall '-P 3 2"'
loop_
_atom_site_label
_atom_site_fract_x
_atom_site_fract_y
_atom_site_fract_z
Ba1 0.0000 0.0000 0.2498
Ba2 0.3333 0.6667 0.4152
Ba3 0.3333 0.6667 0.9165
Sn1 0.3333 0.6667 0.1670
Hg1 0.0000 0.0000 0.0000
Hg2 0.0000 0.0000 0.5000
Hg3 0.3333 0.6667 0.6622

=====

no.,Fermi-level density of states (states/eV/cell)
1,9.1
2,15.9
3,4.1
4,5.4
5,14.1
6,7.5
7,7.0
8,7.3
9,10.1
10,8.5
11,10.0
12,3.3
13,3.2
14,2.1
15,14.5
16,9.3
17,13.6
18,25.3
19,5.0
20,7.0